Record 1
The following is a DFT calculation (PBE) of a geometry-optimized Mn2TlCl structure.

Cell and atoms, written as POSCAR:
```
Mn2TlCl
1.0
4.5094 0.0000 0.0000
0.0000 1.5717 5.5752
0.0000 -1.5717 5.5752
Mn Tl Cl
2 1 1
direct
0.0000 0.0000 0.0000 Mn
0.5000 0.3734 0.3734 Mn
0.5000 0.6265 0.6265 Tl
0.0000 0.3249 0.3249 Cl
```

relative energy among the computed polymorphs: 0.150 eV/atom
formation energy without anion corrections: 251 meV per atom
magnetic moment: 7.4 μB per cell
Fermi-level density of states: 0.60 states/eV/atom


Record 2
The following is a DFT calculation (PBE) of a geometry-optimized MnTlCl2 structure.

Cell and atoms, written as POSCAR:
```
MnTlCl2
1.0
0.0000 3.6679 3.6679
3.6679 0.0000 3.6679
3.6679 3.6679 0.0000
Mn Tl Cl
1 1 2
direct
0.0000 0.0000 0.0000 Mn
0.7500 0.7500 0.7500 Tl
0.2500 0.2500 0.2500 Cl
0.5000 0.5000 0.5000 Cl
```

relative energy among the computed polymorphs: 0.701 eV/atom
formation energy without anion corrections: -14 meV per atom
magnetic moment: 5.8 μB per cell
Fermi-level density of states: 0.57 states/eV/atom


Record 3
The following is a DFT calculation (PBE) of a geometry-optimized MnTl5Cl8 structure.

Cell and atoms, written as POSCAR:
```
MnTl5Cl8
1.0
0.0000 6.3738 6.3738
6.3738 0.0000 6.3738
6.3738 6.3738 0.0000
Mn Tl Cl
1 5 8
direct
0.0000 0.0000 0.0000 Mn
0.1257 0.6248 0.6248 Tl
0.2500 0.2500 0.2500 Tl
0.6248 0.1257 0.6248 Tl
0.6248 0.6248 0.1257 Tl
0.6248 0.6248 0.6248 Tl
0.3049 0.8984 0.8984 Cl
0.3897 0.3897 0.3897 Cl
0.3897 0.3897 0.8308 Cl
0.3897 0.8308 0.3897 Cl
0.8308 0.3897 0.3897 Cl
0.8984 0.3049 0.8984 Cl
0.8984 0.8984 0.3049 Cl
0.8984 0.8984 0.8984 Cl
```

relative energy among the computed polymorphs: 0.010 eV/atom
formation energy without anion corrections: -968 meV per atom
magnetic moment: 4.0 μB per cell
Fermi-level density of states: 0.69 states/eV/atom


Record 4
The following is a DFT calculation (PBE) of a geometry-optimized Mn5Tl3Cl12 structure.

Cell and atoms, written as POSCAR:
```
Mn5Tl3Cl12
1.0
-8.2076 8.2076 8.2076
8.2076 -8.2076 8.2076
8.2076 8.2076 -8.2076
Mn Tl Cl
20 12 48
direct
0.0000 0.0000 0.0000 Mn
0.0000 0.0000 0.5000 Mn
0.0000 0.5000 0.0000 Mn
0.0000 0.5000 0.5000 Mn
0.1250 0.7500 0.8750 Mn
0.1250 0.8750 0.2500 Mn
0.2500 0.1250 0.8750 Mn
0.2500 0.6250 0.3750 Mn
0.3750 0.2500 0.6250 Mn
0.3750 0.6250 0.7500 Mn
0.5000 0.0000 0.0000 Mn
0.5000 0.0000 0.5000 Mn
0.5000 0.5000 0.0000 Mn
0.5000 0.5000 0.5000 Mn
0.6250 0.3750 0.2500 Mn
0.6250 0.7500 0.3750 Mn
0.7500 0.3750 0.6250 Mn
0.7500 0.8750 0.1250 Mn
0.8750 0.1250 0.7500 Mn
0.8750 0.2500 0.1250 Mn
0.1250 0.2500 0.3750 Tl
0.1250 0.3750 0.7500 Tl
0.2500 0.3750 0.1250 Tl
0.2500 0.8750 0.6250 Tl
0.3750 0.1250 0.2500 Tl
0.3750 0.7500 0.1250 Tl
0.6250 0.2500 0.8750 Tl
0.6250 0.8750 0.7500 Tl
0.7500 0.1250 0.3750 Tl
0.7500 0.6250 0.8750 Tl
0.8750 0.6250 0.2500 Tl
0.8750 0.7500 0.6250 Tl
0.0130 0.1944 0.1094 Cl
0.0130 0.3186 0.9036 Cl
0.0850 0.6944 0.6814 Cl
0.0850 0.8906 0.4036 Cl
0.0964 0.6094 0.4150 Cl
0.0964 0.9870 0.6814 Cl
0.1094 0.0130 0.1944 Cl
0.1094 0.5964 0.9150 Cl
0.1814 0.1944 0.5850 Cl
0.1814 0.4870 0.5964 Cl
0.1944 0.1094 0.0130 Cl
0.1944 0.5850 0.1814 Cl
0.3056 0.3186 0.9150 Cl
0.3056 0.4870 0.3906 Cl
0.3186 0.9036 0.0130 Cl
0.3186 0.9150 0.3056 Cl
0.3906 0.3056 0.4870 Cl
0.3906 0.5850 0.9036 Cl
0.4036 0.0850 0.8906 Cl
0.4036 0.8186 0.5130 Cl
0.4150 0.0964 0.6094 Cl
0.4150 0.8186 0.8056 Cl
0.4870 0.3906 0.3056 Cl
0.4870 0.5964 0.1814 Cl
0.5130 0.4036 0.8186 Cl
0.5130 0.6094 0.6944 Cl
0.5850 0.1814 0.1944 Cl
0.5850 0.9036 0.3906 Cl
0.5964 0.1814 0.4870 Cl
0.5964 0.9150 0.1094 Cl
0.6094 0.4150 0.0964 Cl
0.6094 0.6944 0.5130 Cl
0.6814 0.0850 0.6944 Cl
0.6814 0.0964 0.9870 Cl
0.6944 0.5130 0.6094 Cl
0.6944 0.6814 0.0850 Cl
0.8056 0.4150 0.8186 Cl
0.8056 0.8906 0.9870 Cl
0.8186 0.5130 0.4036 Cl
0.8186 0.8056 0.4150 Cl
0.8906 0.4036 0.0850 Cl
0.8906 0.9870 0.8056 Cl
0.9036 0.0130 0.3186 Cl
0.9036 0.3906 0.5850 Cl
0.9150 0.1094 0.5964 Cl
0.9150 0.3056 0.3186 Cl
0.9870 0.6814 0.0964 Cl
0.9870 0.8056 0.8906 Cl
```

formation energy without anion corrections: -975 meV per atom
magnetic moment: 96.0 μB per cell
Fermi-level density of states: 0.51 states/eV/atom


Record 5
The following is a DFT calculation (PBE) of a geometry-optimized MnTl2Cl4 structure.

Cell and atoms, written as POSCAR:
```
MnTl2Cl4
1.0
6.6227 -1.9736 0.0000
6.6227 1.9736 0.0000
-3.5518 0.0000 7.5807
Mn Tl Cl
1 2 4
direct
0.0000 0.0000 0.0000 Mn
0.3484 0.3484 0.3154 Tl
0.6516 0.6516 0.6846 Tl
0.0371 0.0371 0.3149 Cl
0.3582 0.3582 0.9426 Cl
0.6418 0.6418 0.0574 Cl
0.9629 0.9629 0.6851 Cl
```

relative energy among the computed polymorphs: 0.025 eV/atom
formation energy without anion corrections: -1038 meV per atom
magnetic moment: 5.0 μB per cell
Fermi-level density of states: 0.00 states/eV/atom


Record 6
The following is a DFT calculation (PBE) of a geometry-optimized Mn2TlCl structure.

Cell and atoms, written as POSCAR:
```
Mn2TlCl
1.0
0.0000 3.3950 3.3950
3.3950 0.0000 3.3950
3.3950 3.3950 0.0000
Mn Tl Cl
2 1 1
direct
0.2500 0.2500 0.2500 Mn
0.7500 0.7500 0.7500 Mn
0.0000 0.0000 0.0000 Tl
0.5000 0.5000 0.5000 Cl
```

relative energy among the computed polymorphs: 0.387 eV/atom
formation energy without anion corrections: 489 meV per atom
magnetic moment: 7.7 μB per cell
Fermi-level density of states: 0.72 states/eV/atom


Record 7
The following is a DFT calculation (PBE) of a geometry-optimized MnTl2Cl6 structure.

Cell and atoms, written as POSCAR:
```
MnTl2Cl6
1.0
0.0000 4.9594 4.9594
4.9594 0.0000 4.9594
4.9594 4.9594 0.0000
Mn Tl Cl
1 2 6
direct
0.0000 0.0000 0.0000 Mn
0.2500 0.2500 0.2500 Tl
0.7500 0.7500 0.7500 Tl
0.2306 0.2306 0.7694 Cl
0.2306 0.7694 0.2306 Cl
0.2306 0.7694 0.7694 Cl
0.7694 0.2306 0.2306 Cl
0.7694 0.2306 0.7694 Cl
0.7694 0.7694 0.2306 Cl
```

formation energy without anion corrections: -977 meV per atom
magnetic moment: 3.1 μB per cell


Record 8
The following is a DFT calculation (PBE) of a geometry-optimized MnTlCl2 structure.

Cell and atoms, written as POSCAR:
```
MnTlCl2
1.0
3.2521 0.0000 0.0000
0.0000 3.2521 0.0000
0.0000 0.0000 8.9552
Mn Tl Cl
1 1 2
direct
0.0000 0.0000 0.0000 Mn
0.0000 0.0000 0.5000 Tl
0.5000 0.5000 0.1721 Cl
0.5000 0.5000 0.8279 Cl
```

relative energy among the computed polymorphs: 0.217 eV/atom
formation energy without anion corrections: -498 meV per atom
magnetic moment: 4.6 μB per cell
Fermi-level density of states: 0.45 states/eV/atom


Record 9
The following is a DFT calculation (PBE) of a geometry-optimized Mn2Tl3Cl7 structure.

Cell and atoms, written as POSCAR:
```
Mn2Tl3Cl7
1.0
-2.5330 2.5330 12.9932
2.5330 -2.5330 12.9932
2.5330 2.5330 -12.9932
Mn Tl Cl
2 3 7
direct
0.0993 0.0993 0.0000 Mn
0.9007 0.9007 0.0000 Mn
0.3181 0.3181 0.0000 Tl
0.5000 0.5000 0.0000 Tl
0.6819 0.6819 0.0000 Tl
0.0000 0.0000 0.0000 Cl
0.0957 0.5957 0.5000 Cl
0.1942 0.1942 0.0000 Cl
0.4043 0.9043 0.5000 Cl
0.5957 0.0957 0.5000 Cl
0.8058 0.8058 0.0000 Cl
0.9043 0.4043 0.5000 Cl
```

relative energy among the computed polymorphs: 0.000 eV/atom
formation energy without anion corrections: -1046 meV per atom
magnetic moment: 10.0 μB per cell


Record 10
The following is a DFT calculation (PBE) of a geometry-optimized MnTl2Cl4 structure.

Cell and atoms, written as POSCAR:
```
MnTl2Cl4
1.0
-2.5300 2.5300 7.9740
2.5300 -2.5300 7.9740
2.5300 2.5300 -7.9740
Mn Tl Cl
1 2 4
direct
0.0000 0.0000 0.0000 Mn
0.3572 0.3572 0.0000 Tl
0.6428 0.6428 0.0000 Tl
0.0000 0.5000 0.5000 Cl
0.1576 0.1576 0.0000 Cl
0.5000 0.0000 0.5000 Cl
0.8424 0.8424 0.0000 Cl
```

relative energy among the computed polymorphs: 0.018 eV/atom
formation energy without anion corrections: -1044 meV per atom
magnetic moment: 5.0 μB per cell


Record 11
The following is a DFT calculation (PBE) of a geometry-optimized MnTlCl2 structure.

Cell and atoms, written as POSCAR:
```
MnTlCl2
1.0
3.5193 0.0000 0.0000
0.0000 3.4788 0.0000
-0.5538 0.0000 8.9588
Mn Tl Cl
1 1 2
direct
0.0000 0.0000 0.0000 Mn
0.5000 0.0000 0.5000 Tl
0.0937 0.5000 0.8160 Cl
0.9063 0.5000 0.1840 Cl
```

relative energy among the computed polymorphs: 0.120 eV/atom
formation energy without anion corrections: -595 meV per atom
magnetic moment: 4.5 μB per cell
Fermi-level density of states: 0.33 states/eV/atom


Record 12
The following is a DFT calculation (PBE) of a geometry-optimized MnTlCl2 structure.

Cell and atoms, written as POSCAR:
```
MnTlCl2
1.0
-2.0890 2.0890 6.0609
2.0890 -2.0890 6.0609
2.0890 2.0890 -6.0609
Mn Tl Cl
1 1 2
direct
0.0000 0.0000 0.0000 Mn
0.2500 0.7500 0.5000 Tl
0.5000 0.5000 0.0000 Cl
0.7500 0.2500 0.5000 Cl
```

relative energy among the computed polymorphs: 0.502 eV/atom
formation energy without anion corrections: -213 meV per atom
magnetic moment: 5.0 μB per cell
Fermi-level density of states: 0.82 states/eV/atom